Model A:
Density functional theory data (PBE+U) for an optimized crystal structure of KCaPrWO6.

Output
SG: F-43m, No. 216
calculated density: 5.744 Mg/m³
total magnetic moment: 0.00 Bohr magnetons per cell

abc: 5.890 5.890 5.890
angles: 60.00 60.00 60.00
Fractional coordinates of all 10 atoms:
K  0.250  0.250  0.250
Ca  0.000  0.000  0.000
Pr  0.750  0.750  0.750
W  0.500  0.500  0.500
O  0.267  0.733  0.267
O  0.733  0.267  0.733
O  0.267  0.733  0.733
O  0.733  0.267  0.267
O  0.267  0.267  0.733
O  0.733  0.733  0.267

Model B:
Density functional theory data (PBE+U) for an optimized crystal structure of KCaPrWO6.

Output
SG: F-43m, No. 216
calculated density: 5.284 Mg/m³
total magnetic moment: 0.00 Bohr magnetons per cell

abc: 6.057 6.057 6.057
angles: 60.00 60.00 60.00
Fractional coordinates of all 10 atoms:
K  0.750  0.750  0.750
Ca  0.250  0.250  0.250
Pr  0.000  0.000  0.000
W  0.500  0.500  0.500
O  0.272  0.728  0.272
O  0.728  0.272  0.728
O  0.272  0.728  0.728
O  0.728  0.272  0.272
O  0.272  0.272  0.728
O  0.728  0.728  0.272

It turns out model B is the most stable, with the second structure 0.8 kJ/mol of atoms higher.